(1)
Here is crystalline FeHg2Sb at its relaxed geometry from the Alexandria database. Energies are from PBE-GGA. Values from VASP.

Output
Total energy, eV/atom: -2.801
ρ, g cm⁻³: 11.2
Fermi-level density of states, states/eV/cell: 4.9

```
&SYSTEM
  ibrav = 0, nat = 4, ntyp = 3
/
ATOMIC_SPECIES
Fe 55.84 Fe.upf
Hg 200.59 Hg.upf
Sb 121.76 Sb.upf
CELL_PARAMETERS angstrom
4.1870 0.0000 0.0000
0.0000 4.1870 0.0000
0.0000 0.0000 4.9161
ATOMIC_POSITIONS angstrom
Fe 0.0000 0.0000 0.0000
Hg 0.0000 2.0935 2.4581
Hg 2.0935 0.0000 2.4581
Sb 2.0935 2.0935 0.0000
```

(2)
Here is crystalline TaTc4Ni at its relaxed geometry from the Alexandria database. Energies are from PBE-GGA. Values from VASP.

Output
Total energy, eV/atom: -9.680
ρ, g cm⁻³: 11.3
Fermi-level density of states, states/eV/cell: 4.9
ΔH_f (0 K), meV/atom: 169.9

```
&SYSTEM
  ibrav = 0, nat = 6, ntyp = 3
/
ATOMIC_SPECIES
Ta 180.95 Ta.upf
Tc 98.00 Tc.upf
Ni 58.69 Ni.upf
CELL_PARAMETERS angstrom
0.0000 3.5979 3.5979
3.5979 0.0000 3.5979
3.5979 3.5979 0.0000
ATOMIC_POSITIONS angstrom
Ta 0.0000 0.0000 0.0000
Tc 4.4875 2.7083 2.7083
Tc 2.7083 4.4875 2.7083
Tc 2.7083 2.7083 4.4875
Tc 4.4875 4.4875 4.4875
Ni 1.7990 1.7990 1.7990
```

(3)
Here is crystalline LiMnAs at its relaxed geometry from the Alexandria database. Energies are from PBE-GGA. Values from VASP.

Output
Total energy, eV/atom: -5.542
ρ, g cm⁻³: 4.8
Fermi-level density of states, states/eV/cell: 4.8
ΔH_f (0 K), meV/atom: -298.0

```
&SYSTEM
  ibrav = 0, nat = 6, ntyp = 3
/
ATOMIC_SPECIES
Li 6.94 Li.upf
Mn 54.94 Mn.upf
As 74.92 As.upf
CELL_PARAMETERS angstrom
3.9023 0.0000 0.0000
0.0000 3.9023 0.0000
0.0000 0.0000 6.1679
ATOMIC_POSITIONS angstrom
Li 0.9756 2.9268 0.0000
Li 2.9268 0.9756 0.0000
Mn 0.9756 2.9268 3.0840
Mn 2.9268 0.9756 3.0840
As 0.9756 0.9756 1.6728
As 2.9268 2.9268 4.4951
```

(4)
Here is crystalline LiTlBiTe3 at its relaxed geometry from the Alexandria database. Energies are from PBE-GGA. Values from VASP.

Output
Total energy, eV/atom: -3.290
ρ, g cm⁻³: 6.5
Fermi-level density of states, states/eV/cell: 3.7

```
&SYSTEM
  ibrav = 0, nat = 12, ntyp = 4
/
ATOMIC_SPECIES
Li 6.94 Li.upf
Tl 204.38 Tl.upf
Bi 208.98 Bi.upf
Te 127.60 Te.upf
CELL_PARAMETERS angstrom
9.5403 0.0000 0.0000
0.0000 4.6827 0.0000
-3.9589 0.0000 9.1544
ATOMIC_POSITIONS angstrom
Li 0.7973 1.1707 0.5882
Li 4.7840 3.5120 8.5662
Tl -0.7763 1.1707 6.5680
Tl 6.3576 3.5120 2.5864
Bi 1.6515 3.5120 3.0901
Bi 3.9298 1.1707 6.0643
Te -0.5916 1.1707 3.0617
Te -1.9858 3.5120 9.0296
Te 1.8477 3.5120 6.2396
Te 3.7336 1.1707 2.9148
Te 7.5671 1.1707 0.1248
Te 6.1729 3.5120 6.0927
```

(5)
Here is crystalline Li8TlCd2 at its relaxed geometry from the Alexandria database. Energies are from PBE-GGA. Values from VASP.

Output
Total energy, eV/atom: -1.967
ρ, g cm⁻³: 3.9
Fermi-level density of states, states/eV/cell: 3.9
ΔH_f (0 K), meV/atom: -193.6

```
&SYSTEM
  ibrav = 0, nat = 11, ntyp = 3
/
ATOMIC_SPECIES
Li 6.94 Li.upf
Tl 204.38 Tl.upf
Cd 112.41 Cd.upf
CELL_PARAMETERS angstrom
7.6711 -2.2260 0.0000
7.6711 2.2260 0.0000
-0.9202 0.0000 5.9864
ATOMIC_POSITIONS angstrom
Li 0.4595 0.0000 1.4141
Li 1.5262 0.0000 4.0604
Li 4.3633 0.0000 3.5446
Li 6.1829 0.0000 0.2652
Li 8.2392 0.0000 5.7212
Li 10.0588 0.0000 2.4418
Li 12.8958 0.0000 1.9260
Li 13.9626 0.0000 4.5723
Tl 7.2110 0.0000 2.9932
Cd 3.2776 0.0000 0.8696
Cd 11.1445 0.0000 5.1168
```

(6)
Here is crystalline La3As4Rh7 at its relaxed geometry from the Alexandria database. Energies are from PBE-GGA. Values from VASP.

Output
Total energy, eV/atom: -6.942
ρ, g cm⁻³: 9.3
Fermi-level density of states, states/eV/cell: 9.4
ΔH_f (0 K), meV/atom: -882.0

```
&SYSTEM
  ibrav = 0, nat = 14, ntyp = 3
/
ATOMIC_SPECIES
La 138.91 La.upf
As 74.92 As.upf
Rh 102.91 Rh.upf
CELL_PARAMETERS angstrom
7.9009 -2.0732 0.0000
7.9009 2.0732 0.0000
-5.6197 0.0000 7.8437
ATOMIC_POSITIONS angstrom
La 0.0000 0.0000 0.0000
La 3.3478 0.0000 2.6430
La 6.8342 0.0000 5.2007
As -2.9327 0.0000 6.5293
As 1.2167 0.0000 5.6809
As 8.9653 0.0000 2.1628
As 13.1147 0.0000 1.3144
Rh -2.8099 0.0000 3.9219
Rh 0.2656 0.0000 3.3240
Rh -0.6219 0.0000 7.5192
Rh 3.7206 0.0000 5.6947
Rh 6.4614 0.0000 2.1490
Rh 10.8039 0.0000 0.3245
Rh 9.9164 0.0000 4.5197
```

(7)
Here is crystalline GeAs2PBr at its relaxed geometry from the Alexandria database. Energies are from PBE-GGA. Values from VASP.

Output
Total energy, eV/atom: -3.516
ρ, g cm⁻³: 4.7
Fermi-level density of states, states/eV/cell: 4.1

```
&SYSTEM
  ibrav = 0, nat = 5, ntyp = 4
/
ATOMIC_SPECIES
Ge 72.64 Ge.upf
As 74.92 As.upf
P 30.97 P.upf
Br 79.90 Br.upf
CELL_PARAMETERS angstrom
4.8436 0.0000 0.0000
0.0000 4.8436 0.0000
0.0000 0.0000 5.0020
ATOMIC_POSITIONS angstrom
Ge 0.0000 0.0000 0.0000
As 0.0000 2.4218 2.5010
As 2.4218 0.0000 2.5010
P 2.4218 2.4218 2.5010
Br 2.4218 2.4218 0.0000
```

(8)
Here is crystalline AcPuI2N at its relaxed geometry from the Alexandria database. Energies are from PBE-GGA. Values from VASP.

Output
Total energy, eV/atom: -6.952
ρ, g cm⁻³: 7.8
Fermi-level density of states, states/eV/cell: 26.1

```
&SYSTEM
  ibrav = 0, nat = 10, ntyp = 4
/
ATOMIC_SPECIES
Ac 227.00 Ac.upf
Pu 244.00 Pu.upf
I 126.90 I.upf
N 14.01 N.upf
CELL_PARAMETERS angstrom
4.4363 0.0000 0.0000
0.0000 4.4363 0.0000
0.0000 0.0000 16.0318
ATOMIC_POSITIONS angstrom
Ac 1.1091 1.1091 1.1610
Ac 3.3272 3.3272 14.8707
Pu 1.1091 1.1091 9.3722
Pu 3.3272 3.3272 6.6596
I 1.1091 1.1091 6.2047
I 1.1091 1.1091 12.5337
I 3.3272 3.3272 3.4981
I 3.3272 3.3272 9.8271
N 1.1091 3.3272 0.0000
N 3.3272 1.1091 0.0000
```

(9)
Here is crystalline Pm2ScGa2 at its relaxed geometry from the Alexandria database. Energies are from PBE-GGA. Values from VASP.

Output
Total energy, eV/atom: -4.869
ρ, g cm⁻³: 6.2
Fermi-level density of states, states/eV/cell: 6.1
ΔH_f (0 K), meV/atom: -491.3

```
&SYSTEM
  ibrav = 0, nat = 5, ntyp = 3
/
ATOMIC_SPECIES
Pm 145.00 Pm.upf
Sc 44.96 Sc.upf
Ga 69.72 Ga.upf
CELL_PARAMETERS angstrom
-2.2232 3.1664 4.5224
2.2232 -3.1664 4.5224
2.2232 3.1664 -4.5224
ATOMIC_POSITIONS angstrom
Pm 0.0000 0.0000 1.8404
Pm 0.0000 0.0000 7.2043
Sc 0.0000 3.1664 0.0000
Ga 2.2232 1.3358 0.0000
Ga 0.0000 1.8307 4.5224
```

(10)
Here is crystalline Ac2PrI at its relaxed geometry from the Alexandria database. Energies are from PBE-GGA. Values from VASP.

Output
Total energy, eV/atom: -4.035
ρ, g cm⁻³: 7.4
Fermi-level density of states, states/eV/cell: 3.8

```
&SYSTEM
  ibrav = 0, nat = 4, ntyp = 3
/
ATOMIC_SPECIES
Ac 227.00 Ac.upf
Pr 140.91 Pr.upf
I 126.90 I.upf
CELL_PARAMETERS angstrom
3.9341 0.0000 0.0000
0.0000 3.9341 0.0000
0.0000 0.0000 10.4350
ATOMIC_POSITIONS angstrom
Ac 0.0000 0.0000 2.5552
Ac 0.0000 0.0000 7.8797
Pr 1.9671 1.9671 5.2175
I 1.9671 1.9671 0.0000
```

(11)
Here is crystalline ScReMoPd2 at its relaxed geometry from the Alexandria database. Energies are from PBE-GGA. Values from VASP.

Output
Total energy, eV/atom: -6.674
ρ, g cm⁻³: 8.0
Fermi-level density of states, states/eV/cell: 4.5
ΔH_f (0 K), meV/atom: 1325.5

```
&SYSTEM
  ibrav = 0, nat = 5, ntyp = 4
/
ATOMIC_SPECIES
Sc 44.96 Sc.upf
Re 186.21 Re.upf
Mo 95.94 Mo.upf
Pd 106.42 Pd.upf
CELL_PARAMETERS angstrom
4.8445 0.0000 0.0000
0.0000 4.8445 0.0000
0.0000 0.0000 4.7844
ATOMIC_POSITIONS angstrom
Sc 0.0000 0.0000 0.0000
Re 0.0000 0.0000 2.3922
Mo 2.4223 2.4223 0.0000
Pd 0.0000 2.4223 2.3922
Pd 2.4223 0.0000 2.3922
```

(12)
Here is crystalline CoBr at its relaxed geometry from the Alexandria database. Energies are from PBE-GGA. Values from VASP.

Output
Total energy, eV/atom: -4.130
ρ, g cm⁻³: 5.8
Fermi-level density of states, states/eV/cell: 4.8

```
&SYSTEM
  ibrav = 0, nat = 4, ntyp = 2
/
ATOMIC_SPECIES
Co 58.93 Co.upf
Br 79.90 Br.upf
CELL_PARAMETERS angstrom
2.8225 -3.4271 0.0000
2.8225 3.4271 0.0000
0.0000 0.0000 4.1409
ATOMIC_POSITIONS angstrom
Co 2.8225 2.9156 3.1057
Co 2.8225 -2.9156 1.0352
Br 2.8225 1.4487 1.0352
Br 2.8225 -1.4487 3.1057
```

The lowest Fermi-level density of states belongs to which entry? LiTlBiTe3

ρ of number 6 (La3As4Rh7)? 9.3 g cm⁻³

ρ of number 6 (La3As4Rh7)? 9.3 g cm⁻³